Record 1
# LiLaNiTe3, optimized geometry, DFT GGA-PBE
data_LiLaNiTe3
_chemical_formula_sum 'Li4 La4 Ni4 Te12'
_cell_length_a 4.196
_cell_length_b 13.577
_cell_length_c 11.950
_cell_angle_alpha 90.00
_cell_angle_beta 90.00
_cell_angle_gamma 90.00
_space_group_name_H-M_alt 'C m c m'
_space_group_IT_number 63
_space_group_name_Hall '-C 2c 2'
loop_
_atom_site_label
_atom_site_type_symbol
_atom_site_fract_x
_atom_site_fract_y
_atom_site_fract_z
_atom_site_occupancy
Li1 Li 0.000 0.177 0.250 1
La1 La 0.000 0.000 0.000 1
Ni1 Ni 0.000 0.467 0.750 1
Te1 Te 0.000 0.073 0.750 1
Te2 Te 0.000 0.339 0.589 1
# **Final energy**: -4.469 eV/atom
# **Crystal system**: orthorhombic

Record 2
# ZnFeAu2, optimized geometry, DFT GGA-PBE
data_ZnFeAu2
_chemical_formula_sum 'Zn4 Fe4 Au8'
_cell_length_a 6.339
_cell_length_b 6.339
_cell_length_c 6.339
_cell_angle_alpha 90.00
_cell_angle_beta 90.00
_cell_angle_gamma 90.00
_space_group_name_H-M_alt 'F -4 3 m'
_space_group_IT_number 216
_space_group_name_Hall 'F -4 2 3'
loop_
_atom_site_label
_atom_site_type_symbol
_atom_site_fract_x
_atom_site_fract_y
_atom_site_fract_z
_atom_site_occupancy
Zn1 Zn 0.000 0.000 0.000 1
Fe1 Fe 0.250 0.250 0.750 1
Au1 Au 0.000 0.000 0.500 1
Au2 Au 0.250 0.250 0.250 1
# **Final energy**: -3.940 eV/atom
# **Crystal system**: cubic

Record 3
# KBi2Au2, optimized geometry, DFT GGA-PBE
data_KBi2Au2
_chemical_formula_sum 'K2 Bi4 Au4'
_cell_length_a 5.214
_cell_length_b 4.896
_cell_length_c 11.603
_cell_angle_alpha 90.00
_cell_angle_beta 93.40
_cell_angle_gamma 90.00
_space_group_name_H-M_alt 'P 1 21/m 1'
_space_group_IT_number 11
_space_group_name_Hall '-P 2yb'
loop_
_atom_site_label
_atom_site_type_symbol
_atom_site_fract_x
_atom_site_fract_y
_atom_site_fract_z
_atom_site_occupancy
K1 K 0.223 0.250 0.245 1
Bi1 Bi 0.254 0.750 0.494 1
Bi2 Bi 0.324 0.250 0.884 1
Au1 Au 0.163 0.750 0.001 1
Au2 Au 0.260 0.250 0.637 1
# **Final energy**: -3.398 eV/atom
# **Crystal system**: monoclinic

Record 4
# ScAgPbSe3, optimized geometry, DFT GGA-PBE
data_ScAgPbSe3
_chemical_formula_sum 'Sc4 Ag4 Pb4 Se12'
_cell_length_a 12.156
_cell_length_b 4.091
_cell_length_c 12.051
_cell_angle_alpha 90.00
_cell_angle_beta 90.00
_cell_angle_gamma 90.00
_space_group_name_H-M_alt 'P n m a'
_space_group_IT_number 62
_space_group_name_Hall '-P 2ac 2n'
loop_
_atom_site_label
_atom_site_type_symbol
_atom_site_fract_x
_atom_site_fract_y
_atom_site_fract_z
_atom_site_occupancy
Sc1 Sc 0.032 0.250 0.165 1
Ag1 Ag 0.245 0.750 0.313 1
Pb1 Pb 0.163 0.250 0.507 1
Se1 Se 0.027 0.750 0.335 1
Se2 Se 0.079 0.250 0.931 1
Se3 Se 0.250 0.250 0.164 1
# **Final energy**: -4.694 eV/atom
# **Crystal system**: orthorhombic

Record 5
# TlGaTe3Pd, optimized geometry, DFT GGA-PBE
data_TlGaTe3Pd
_chemical_formula_sum 'Tl2 Ga2 Te6 Pd2'
_cell_length_a 8.085
_cell_length_b 4.129
_cell_length_c 10.948
_cell_angle_alpha 90.00
_cell_angle_beta 107.58
_cell_angle_gamma 90.00
_space_group_name_H-M_alt 'P 1 21/m 1'
_space_group_IT_number 11
_space_group_name_Hall '-P 2yb'
loop_
_atom_site_label
_atom_site_type_symbol
_atom_site_fract_x
_atom_site_fract_y
_atom_site_fract_z
_atom_site_occupancy
Tl1 Tl 0.027 0.250 0.316 1
Ga1 Ga 0.412 0.250 0.105 1
Te1 Te 0.190 0.750 0.133 1
Te2 Te 0.321 0.250 0.828 1
Te3 Te 0.328 0.750 0.523 1
Pd1 Pd 0.489 0.750 0.341 1
# **Final energy**: -3.553 eV/atom
# **Crystal system**: monoclinic

Record 6
# La5CuPb3, optimized geometry, DFT GGA-PBE
data_La5CuPb3
_chemical_formula_sum 'La10 Cu2 Pb6'
_cell_length_a 9.7674
_cell_length_b 9.7674
_cell_length_c 6.9925
_cell_angle_alpha 90.00
_cell_angle_beta 90.00
_cell_angle_gamma 120.00
_space_group_name_H-M_alt 'P 63/m c m'
_space_group_IT_number 193
_space_group_name_Hall '-P 6c 2'
loop_
_atom_site_label
_atom_site_type_symbol
_atom_site_fract_x
_atom_site_fract_y
_atom_site_fract_z
_atom_site_occupancy
La1 La 0.0000 0.2597 0.2500 1
La2 La 0.3333 0.6667 0.0000 1
Cu1 Cu 0.0000 0.0000 0.0000 1
Pb1 Pb 0.0000 0.3840 0.7500 1
# **Final energy**: -4.904 eV/atom
# **Crystal system**: hexagonal

Record 7
# Dy2Y2CI3Br2, optimized geometry, DFT GGA-PBE
data_Dy2Y2CI3Br2
_chemical_formula_sum 'Dy4 Y4 C2 I6 Br4'
_cell_length_a 18.536
_cell_length_b 3.921
_cell_length_c 8.554
_cell_angle_alpha 90.00
_cell_angle_beta 102.64
_cell_angle_gamma 90.00
_space_group_name_H-M_alt 'C 1 2/m 1'
_space_group_IT_number 12
_space_group_name_Hall '-C 2y'
loop_
_atom_site_label
_atom_site_type_symbol
_atom_site_fract_x
_atom_site_fract_y
_atom_site_fract_z
_atom_site_occupancy
Dy1 Dy 0.001 0.000 0.310 1
Y1 Y 0.133 0.500 0.561 1
C1 C 0.000 0.500 0.500 1
I1 I 0.000 0.500 0.000 1
I2 I 0.168 0.000 0.839 1
Br1 Br 0.164 0.000 0.336 1
# **Final energy**: -5.165 eV/atom
# **Crystal system**: monoclinic

Record 8
# Tc2AgBi, optimized geometry, DFT GGA-PBE
data_Tc2AgBi
_chemical_formula_sum 'Tc8 Ag4 Bi4'
_cell_length_a 6.597
_cell_length_b 6.597
_cell_length_c 6.597
_cell_angle_alpha 90.00
_cell_angle_beta 90.00
_cell_angle_gamma 90.00
_space_group_name_H-M_alt 'F -4 3 m'
_space_group_IT_number 216
_space_group_name_Hall 'F -4 2 3'
loop_
_atom_site_label
_atom_site_type_symbol
_atom_site_fract_x
_atom_site_fract_y
_atom_site_fract_z
_atom_site_occupancy
Tc1 Tc 0.000 0.000 0.000 1
Tc2 Tc 0.250 0.250 0.250 1
Ag1 Ag 0.250 0.250 0.750 1
Bi1 Bi 0.000 0.000 0.500 1
# **Final energy**: -6.161 eV/atom
# **Crystal system**: cubic

Record 9
# PrNdMg6, optimized geometry, DFT GGA-PBE
data_PrNdMg6
_chemical_formula_sum 'Pr1 Nd1 Mg6'
_cell_length_a 5.259
_cell_length_b 7.402
_cell_length_c 5.260
_cell_angle_alpha 90.00
_cell_angle_beta 90.00
_cell_angle_gamma 90.00
_space_group_name_H-M_alt 'P m m 2'
_space_group_IT_number 25
_space_group_name_Hall 'P 2 -2'
loop_
_atom_site_label
_atom_site_type_symbol
_atom_site_fract_x
_atom_site_fract_y
_atom_site_fract_z
_atom_site_occupancy
Pr1 Pr 0.000 0.000 0.000 1
Nd1 Nd 0.500 0.500 0.491 1
Mg1 Mg 0.000 0.250 0.500 1
Mg2 Mg 0.000 0.500 0.999 1
Mg3 Mg 0.500 0.000 0.491 1
Mg4 Mg 0.500 0.250 0.990 1
# **Final energy**: -2.476 eV/atom
# **Crystal system**: orthorhombic

Record 10
# ZnCdSO, optimized geometry, DFT GGA-PBE
data_ZnCdSO
_chemical_formula_sum 'Zn4 Cd4 S4 O4'
_cell_length_a 5.769
_cell_length_b 6.804
_cell_length_c 7.478
_cell_angle_alpha 90.00
_cell_angle_beta 90.00
_cell_angle_gamma 90.00
_space_group_name_H-M_alt 'P 21 21 21'
_space_group_IT_number 19
_space_group_name_Hall 'P 2ac 2ab'
loop_
_atom_site_label
_atom_site_type_symbol
_atom_site_fract_x
_atom_site_fract_y
_atom_site_fract_z
_atom_site_occupancy
Zn1 Zn 0.161 0.179 0.095 1
Cd1 Cd 0.165 0.401 0.671 1
S1 S 0.007 0.374 0.350 1
O1 O 0.021 0.736 0.622 1
# **Final energy**: -3.691 eV/atom
# **Crystal system**: orthorhombic

Record 11
# NbFePd2, optimized geometry, DFT GGA-PBE
data_NbFePd2
_chemical_formula_sum 'Nb4 Fe4 Pd8'
_cell_length_a 6.232
_cell_length_b 6.232
_cell_length_c 6.232
_cell_angle_alpha 90.00
_cell_angle_beta 90.00
_cell_angle_gamma 90.00
_space_group_name_H-M_alt 'F -4 3 m'
_space_group_IT_number 216
_space_group_name_Hall 'F -4 2 3'
loop_
_atom_site_label
_atom_site_type_symbol
_atom_site_fract_x
_atom_site_fract_y
_atom_site_fract_z
_atom_site_occupancy
Nb1 Nb 0.000 0.000 0.000 1
Fe1 Fe 0.250 0.250 0.250 1
Pd1 Pd 0.000 0.000 0.500 1
Pd2 Pd 0.250 0.250 0.750 1
# **Final energy**: -7.258 eV/atom
# **Crystal system**: cubic

Record 12
# Zn5Re, optimized geometry, DFT GGA-PBE
data_Zn5Re
_chemical_formula_sum 'Zn5 Re1'
_cell_length_a 4.8334
_cell_length_b 4.8334
_cell_length_c 4.2323
_cell_angle_alpha 90.00
_cell_angle_beta 90.00
_cell_angle_gamma 120.00
_space_group_name_H-M_alt 'P -6 2 m'
_space_group_IT_number 189
_space_group_name_Hall 'P -6 -2'
loop_
_atom_site_label
_atom_site_type_symbol
_atom_site_fract_x
_atom_site_fract_y
_atom_site_fract_z
_atom_site_occupancy
Zn1 Zn 0.0000 0.3356 0.0000 1
Zn2 Zn 0.3333 0.6667 0.5000 1
Re1 Re 0.0000 0.0000 0.5000 1
# **Final energy**: -2.890 eV/atom
# **Crystal system**: hexagonal